! Sr2InTe | the Alexandria database | PBEsol | relaxed; values from VASP
&SYSTEM
  ibrav = 0, nat = 8, ntyp = 3
/
ATOMIC_SPECIES
Sr 87.62 Sr.upf
In 114.82 In.upf
Te 127.60 Te.upf
ATOMIC_POSITIONS crystal
Sr 0.000 0.000 0.000
Sr 0.241 0.500 0.517
Sr 0.500 0.500 0.000
Sr 0.741 0.000 0.517
In 0.270 0.000 0.036
In 0.770 0.500 0.036
Te 0.467 0.000 0.477
Te 0.967 0.500 0.477
CELL_PARAMETERS angstrom
12.511 0.000 0.000
0.000 4.156 0.000
-1.066 0.000 5.245
! symmetry	Cm
! E_form (uncorrected)	-0.84	eV per atom

! Sr2InTe | the Alexandria database | PBEsol | relaxed; values from VASP
&SYSTEM
  ibrav = 0, nat = 4, ntyp = 3
/
ATOMIC_SPECIES
Sr 87.62 Sr.upf
In 114.82 In.upf
Te 127.60 Te.upf
ATOMIC_POSITIONS crystal
Sr 0.000 0.500 0.000
Sr 0.500 0.000 0.000
In 0.000 0.000 0.500
Te 0.500 0.500 0.500
CELL_PARAMETERS angstrom
5.678 0.000 0.000
0.000 5.678 0.000
0.000 0.000 4.001
! symmetry	P4/mmm
! E_form (uncorrected)	-0.84	eV per atom

Q: Which formula does entry 2 have?
A: Sr2InTe

Q: Which value of E_form (uncorrected) does entry 2 give?
A: -0.84 eV per atom